VASP calculation (GGA-PBE) on CaZrPCl2 after structural relaxation.

Summary:
As for the uncorrected formation energy: -537 kJ/mol of formula units.

abc: 4.9549 4.9549 5.2362
angles: 90.00 90.00 90.00
Closest atoms and distances in Å follow each position.
Space group P4/mmm (No. 123)
Unique sites:
1 Ca 0.0000 0.0000 0.0000 x1  4 P 3.50, 8 Cl 3.60
2 Zr 0.5000 0.5000 0.5000 x1  4 Cl 2.48, 2 P 2.62
3 P 0.5000 0.5000 0.0000 x1  2 Zr 2.62
4 Cl 0.0000 0.5000 0.5000 x2  2 Zr 2.48

---

VASP calculation (GGA-PBE) on SrZn2IrO6 after structural relaxation.

Summary:
As for the uncorrected formation energy: -1283 kJ/mol of formula units.

abc: 5.5045 5.5045 14.6624
angles: 90.00 90.00 120.00
Closest atoms and distances in Å follow each position.
Space group R3 (No. 146, hexagonal axes)
Unique sites:
1 Sr 0.0000 0.0000 0.0000 x3  6 O 2.41-2.59
2 Zn 0.0000 0.0000 0.2718 x3  3 O 2.06
3 Zn 0.0000 0.0000 0.7742 x3  3 O 1.97
4 Ir 0.0000 0.0000 0.4824 x3  6 O 1.96-1.97
5 O 0.0288 0.3559 0.2157 x9  1 Ir 1.96, 1 Zn 2.06
6 O 0.0386 0.6140 0.0616 x9  1 Zn 1.97, 1 Ir 1.97

---

VASP calculation (GGA-PBE) on CaSc2Rh after structural relaxation.

Summary:
The calculation puts the formation energy at -0.0561 eV/atom.

abc: 7.0119 7.0119 7.0119
angles: 90.00 90.00 90.00
Closest atoms and distances in Å follow each position.
Space group F-43m (No. 216)
Unique sites:
1 Ca 0.0000 0.0000 0.0000 x4  4 Rh 3.04, 4 Sc 3.04
2 Sc 0.0000 0.0000 0.5000 x4  4 Sc 3.04, 4 Rh 3.04
3 Sc 0.2500 0.2500 0.2500 x4  4 Ca 3.04, 4 Sc 3.04
4 Rh 0.2500 0.2500 0.7500 x4  4 Ca 3.04, 4 Sc 3.04

---

VASP calculation (GGA-PBE) on BRhW2 after structural relaxation.

Summary:
The calculation puts the formation energy at 0.8721 eV/atom.

abc: 3.7701 3.7701 16.9126
angles: 90.00 90.00 90.00
Closest atoms and distances in Å follow each position.
Space group I-42d (No. 122)
Unique sites:
1 B 0.0000 0.0000 0.0000 x4  4 W 2.45, 4 Rh 2.67
2 Rh 0.0000 0.0000 0.5000 x4  4 W 2.55, 4 B 2.67
3 W 0.2149 0.2500 0.1250 x8  2 B 2.45, 2 W 2.49, 2 Rh 2.55

---

VASP calculation (GGA-PBE) on ErZrReNi after structural relaxation.

Summary:
The calculation puts the formation energy at -0.1850 eV/atom.

abc: 6.6392 6.6392 6.6392
angles: 90.00 90.00 90.00
Closest atoms and distances in Å follow each position.
Space group F-43m (No. 216)
Unique sites:
1 Er 0.0000 0.0000 0.0000 x4  4 Ni 2.87, 4 Re 2.87
2 Zr 0.0000 0.0000 0.5000 x4  4 Re 2.87, 4 Ni 2.87
3 Re 0.2500 0.2500 0.2500 x4  4 Zr 2.87, 4 Er 2.87
4 Ni 0.2500 0.2500 0.7500 x4  4 Zr 2.87, 4 Er 2.87

---

VASP calculation (GGA-PBE) on YScAs2 after structural relaxation.

Summary:
The calculation puts the formation energy at -0.2999 eV/atom.

abc: 6.9621 6.9621 6.9621
angles: 90.00 90.00 90.00
Closest atoms and distances in Å follow each position.
Space group F-43m (No. 216)
Unique sites:
1 Y 0.0000 0.0000 0.0000 x4  4 Sc 3.01, 4 As 3.01
2 Sc 0.2500 0.2500 0.7500 x4  4 As 3.01, 4 Y 3.01
3 As 0.0000 0.0000 0.5000 x4  4 As 3.01, 4 Sc 3.01
4 As 0.2500 0.2500 0.2500 x4  4 Y 3.01, 4 As 3.01

---

Summary of D(E_F) in states/eV/cell
1.82; 5.62; 21.85; 15.51; 6.87; 8.31
(order as listed above)
Summary of magnetization in μB per atom
0.0000; 0.3001; 0.0000; 0.0000; 0.0000; 0.0000
(order as listed above)